# LaCd4Ni, optimized geometry, DFT PBE
data_LaCd4Ni
_chemical_formula_sum 'La4 Cd16 Ni4'
_cell_length_a 5.3325
_cell_length_b 7.0539
_cell_length_c 15.0209
_cell_angle_alpha 90.00
_cell_angle_beta 90.00
_cell_angle_gamma 90.00
_symmetry_space_group_name_H-M 'I m m m'
_symmetry_Int_Tables_number 71
_symmetry_space_group_name_Hall '-I 2 2'
loop_
_atom_site_label
_atom_site_fract_x
_atom_site_fract_y
_atom_site_fract_z
La1 0.0000 0.0000 0.2071
Cd1 0.0000 0.1951 0.0000
Cd2 0.0000 0.2687 0.3917
Cd3 0.0000 0.5000 0.1556
Ni1 0.2275 0.0000 0.5000
# Crystal system: orthorhombic
# E above lowest polymorph, meV/atom: 106
# E, eV per atom: -2.5295
# Formation enthalpy at 0 K, kJ/mol of atoms: -13.0
# Density, g cm⁻³: 7.609
# D(E_F), states/eV/atom: 0.83